# 1
The following is a GGA-PBE calculation of an optimized crystal structure of Ba2InPb, from Alexandria.

## Properties
Symmetry: C2/m
Calculated volume (Å³/cell): 173.7
Formation energy from the elements (eV/atom): -0.253
ρ (g/cm³): 5.70
Offset from the most stable computed form (eV/atom): 0.253

a = 5.815 Å, b = 5.815 Å, c = 7.891 Å
α = 100.28°, β = 100.28°, γ = 41.55°
Element x y z (fractional)
Ba (0.247, 0.247, 0.247)
Ba (0.753, 0.753, 0.753)
In (0.000, 0.000, 0.500)
Pb (0.500, 0.500, 0.000)



# 2
The following is a GGA-PBE calculation of an optimized crystal structure of Mg3PN4, from Alexandria.

## Properties
Symmetry: Pmn2_1
Calculated volume (Å³/cell): 189.5
E_form (uncorrected) (eV/atom): -0.740
ρ (g/cm³): 2.80

a = 6.512 Å, b = 5.663 Å, c = 5.139 Å
α = 90.00°, β = 90.00°, γ = 90.00°
Element x y z (fractional)
Mg (0.000, 0.147, 0.000)
Mg (0.245, 0.328, 0.497)
Mg (0.255, 0.672, 0.997)
Mg (0.500, 0.853, 0.500)
Mg (0.745, 0.672, 0.997)
Mg (0.755, 0.328, 0.497)
P (0.000, 0.824, 0.487)
P (0.500, 0.176, 0.987)
N (0.000, 0.103, 0.585)
N (0.000, 0.814, 0.168)
N (0.211, 0.686, 0.588)
N (0.289, 0.314, 0.088)
N (0.500, 0.186, 0.668)
N (0.500, 0.897, 0.085)
N (0.711, 0.314, 0.088)
N (0.789, 0.686, 0.588)



# 3
The following is a GGA-PBE calculation of an optimized crystal structure of SbPt3C, from Alexandria.

## Properties
Symmetry: Pm-3m
Calculated volume (Å³/cell): 121.0
E_form (uncorrected) (eV/atom): 2.188
ρ (g/cm³): 9.87
Offset from the most stable computed form (eV/atom): 1.821

a = 4.946 Å, b = 4.946 Å, c = 4.946 Å
α = 90.00°, β = 90.00°, γ = 90.00°
Element x y z (fractional)
Sb (0.000, 0.000, 0.000)
Pt (0.000, 0.000, 0.500)
Pt (0.000, 0.500, 0.000)
Pt (0.500, 0.000, 0.000)
C (0.500, 0.500, 0.500)



# 4
The following is a GGA-PBE calculation of an optimized crystal structure of K2SrBr, from Alexandria.

## Properties
Symmetry: I-4m2
Calculated volume (Å³/cell): 206.3
E_form (uncorrected) (eV/atom): -0.430
ρ (g/cm³): 1.98
Offset from the most stable computed form (eV/atom): 0.349

a = 7.866 Å, b = 7.866 Å, c = 7.866 Å
α = 139.13°, β = 139.13°, γ = 59.17°
Element x y z (fractional)
K (0.000, 0.000, 0.000)
K (0.750, 0.250, 0.500)
Sr (0.250, 0.750, 0.500)
Br (0.500, 0.500, 0.000)



# 5
The following is a GGA-PBE calculation of an optimized crystal structure of Li2ZnCdBr6, from Alexandria.

## Properties
Symmetry: P1
Calculated volume (Å³/cell): 253.5
E_form (uncorrected) (eV/atom): -1.061
ρ (g/cm³): 4.40

a = 6.851 Å, b = 6.855 Å, c = 7.375 Å
α = 90.03°, β = 117.64°, γ = 119.93°
Element x y z (fractional)
Li (0.000, 0.000, 0.000)
Li (0.000, 0.500, 0.500)
Zn (0.607, 0.804, 0.413)
Cd (0.609, 0.305, 0.913)
Br (0.109, 0.213, 0.713)
Br (0.141, 0.417, 0.225)
Br (0.500, 0.083, 0.226)
Br (0.500, 0.896, 0.712)
Br (0.808, 0.725, 0.226)
Br (0.817, 0.604, 0.713)



# 6
The following is a GGA-PBE calculation of an optimized crystal structure of DySbRu, from Alexandria.

## Properties
Symmetry: P-6m2
Calculated volume (Å³/cell): 64.3
E_form (uncorrected) (eV/atom): -0.536
ρ (g/cm³): 9.96

a = 4.602 Å, b = 4.602 Å, c = 3.504 Å
α = 90.00°, β = 90.00°, γ = 120.00°
Element x y z (fractional)
Dy (0.000, 0.000, 0.000)
Sb (0.333, 0.667, 0.500)
Ru (0.667, 0.333, 0.500)



# 7
The following is a GGA-PBE calculation of an optimized crystal structure of LiPb3N, from Alexandria.

## Properties
Symmetry: Pm-3m
Calculated volume (Å³/cell): 123.9
E_form (uncorrected) (eV/atom): 1.122
ρ (g/cm³): 8.61
Offset from the most stable computed form (eV/atom): 0.669

a = 4.985 Å, b = 4.985 Å, c = 4.985 Å
α = 90.00°, β = 90.00°, γ = 90.00°
Element x y z (fractional)
Li (0.000, 0.000, 0.000)
Pb (0.000, 0.000, 0.500)
Pb (0.000, 0.500, 0.000)
Pb (0.500, 0.000, 0.000)
N (0.500, 0.500, 0.500)



# 8
The following is a GGA-PBE calculation of an optimized crystal structure of KBaSBr, from Alexandria.

## Properties
Symmetry: R3m
Calculated volume (Å³/cell): 145.1
E_form (uncorrected) (eV/atom): -1.795
ρ (g/cm³): 3.30
Offset from the most stable computed form (eV/atom): 0.000

a = 8.498 Å, b = 8.498 Å, c = 8.498 Å
α = 31.08°, β = 31.08°, γ = 31.08°
Element x y z (fractional)
K (0.000, 0.000, 0.000)
Ba (0.189, 0.189, 0.189)
S (0.587, 0.587, 0.587)
Br (0.427, 0.427, 0.427)



# 9
The following is a GGA-PBE calculation of an optimized crystal structure of Nd6AlCu5, from Alexandria.

## Properties
Symmetry: P2/m
Calculated volume (Å³/cell): 284.4
Formation energy from the elements (eV/atom): -0.169
ρ (g/cm³): 7.07

a = 5.075 Å, b = 7.291 Å, c = 8.088 Å
α = 90.00°, β = 108.19°, γ = 90.00°
Element x y z (fractional)
Nd (0.000, 0.238, 0.000)
Nd (0.000, 0.762, 0.000)
Nd (0.330, 0.250, 0.660)
Nd (0.330, 0.750, 0.660)
Nd (0.670, 0.250, 0.340)
Nd (0.670, 0.750, 0.340)
Al (0.500, 0.500, 0.000)
Cu (0.150, 0.500, 0.303)
Cu (0.167, 0.000, 0.333)
Cu (0.500, 0.000, 0.000)
Cu (0.833, 0.000, 0.667)
Cu (0.850, 0.500, 0.697)



# 10
The following is a GGA-PBE calculation of an optimized crystal structure of Al2HgBr, from Alexandria.

## Properties
Symmetry: R-3m
Calculated volume (Å³/cell): 94.9
E_form (uncorrected) (eV/atom): 0.050
ρ (g/cm³): 5.85
Offset from the most stable computed form (eV/atom): 0.057

a = 7.745 Å, b = 7.745 Å, c = 7.745 Å
α = 28.72°, β = 28.72°, γ = 28.72°
Element x y z (fractional)
Al (0.240, 0.240, 0.240)
Al (0.760, 0.760, 0.760)
Hg (0.500, 0.500, 0.500)
Br (0.000, 0.000, 0.000)



# 11
The following is a GGA-PBE calculation of an optimized crystal structure of Pr6Dy2Ho3Mg, from Alexandria.

## Properties
Symmetry: C2/m
Calculated volume (Å³/cell): 395.5
Formation energy from the elements (eV/atom): 0.021
ρ (g/cm³): 7.09

a = 6.267 Å, b = 6.267 Å, c = 11.821 Å
α = 95.08°, β = 95.08°, γ = 120.02°
Element x y z (fractional)
Pr (0.083, 0.415, 0.249)
Pr (0.250, 0.250, 0.750)
Pr (0.415, 0.083, 0.249)
Pr (0.585, 0.917, 0.751)
Pr (0.750, 0.750, 0.250)
Pr (0.917, 0.585, 0.751)
Dy (0.333, 0.667, 0.000)
Dy (0.667, 0.333, 0.000)
Ho (0.167, 0.833, 0.500)
Ho (0.500, 0.500, 0.500)
Ho (0.833, 0.167, 0.500)
Mg (0.000, 0.000, 0.000)



# 12
The following is a GGA-PBE calculation of an optimized crystal structure of Tc2HgSe, from Alexandria.

## Properties
Symmetry: I-42d
Calculated volume (Å³/cell): 158.8
E_form (uncorrected) (eV/atom): 0.677
ρ (g/cm³): 9.94
Offset from the most stable computed form (eV/atom): 0.513

a = 9.495 Å, b = 9.495 Å, c = 9.495 Å
α = 154.47°, β = 154.47°, γ = 36.42°
Element x y z (fractional)
Tc (0.025, 0.625, 0.900)
Tc (0.375, 0.275, 0.400)
Tc (0.725, 0.125, 0.100)
Tc (0.875, 0.975, 0.600)
Hg (0.250, 0.750, 0.500)
Hg (0.500, 0.500, 0.000)
Se (0.000, 0.000, 0.000)
Se (0.750, 0.250, 0.500)



# 13
The following is a GGA-PBE calculation of an optimized crystal structure of NdHo2Cd, from Alexandria.

## Properties
Symmetry: P4/mmm
Calculated volume (Å³/cell): 116.1
Formation energy from the elements (eV/atom): -0.090
ρ (g/cm³): 8.39
Offset from the most stable computed form (eV/atom): 0.061

a = 4.880 Å, b = 4.880 Å, c = 4.877 Å
α = 90.00°, β = 90.00°, γ = 90.00°
Element x y z (fractional)
Nd (0.000, 0.000, 0.000)
Ho (0.000, 0.500, 0.500)
Ho (0.500, 0.000, 0.500)
Cd (0.500, 0.500, 0.000)



# 14
The following is a GGA-PBE calculation of an optimized crystal structure of La2YTe, from Alexandria.

## Properties
Symmetry: Immm
Calculated volume (Å³/cell): 129.9
E_form (uncorrected) (eV/atom): -0.517
ρ (g/cm³): 6.32

a = 7.181 Å, b = 7.181 Å, c = 7.181 Å
α = 148.70°, β = 137.18°, γ = 53.98°
Element x y z (fractional)
La (0.214, 0.214, 0.000)
La (0.786, 0.786, 0.000)
Y (0.500, 0.000, 0.500)
Te (0.000, 0.500, 0.500)



# 15
The following is a GGA-PBE calculation of an optimized crystal structure of Er2Ag2Hg5, from Alexandria.

## Properties
Symmetry: Cmce
Calculated volume (Å³/cell): 433.5
Formation energy from the elements (eV/atom): -0.130
ρ (g/cm³): 11.90

a = 8.710 Å, b = 8.710 Å, c = 7.508 Å
α = 90.00°, β = 90.00°, γ = 49.55°
Element x y z (fractional)
Er (0.212, 0.212, 0.000)
Er (0.288, 0.288, 0.500)
Er (0.712, 0.712, 0.500)
Er (0.788, 0.788, 0.000)
Ag (0.136, 0.864, 0.639)
Ag (0.364, 0.636, 0.139)
Ag (0.636, 0.364, 0.861)
Ag (0.864, 0.136, 0.361)
Hg (0.000, 0.000, 0.000)
Hg (0.033, 0.710, 0.338)
Hg (0.210, 0.533, 0.838)
Hg (0.290, 0.967, 0.338)
Hg (0.467, 0.790, 0.838)
Hg (0.500, 0.500, 0.500)
Hg (0.533, 0.210, 0.162)
Hg (0.710, 0.033, 0.662)
Hg (0.790, 0.467, 0.162)
Hg (0.967, 0.290, 0.662)



# 16
The following is a GGA-PBE calculation of an optimized crystal structure of Ba2NbFeBi, from Alexandria.

## Properties
Symmetry: P4/mmm
Calculated volume (Å³/cell): 204.8
Formation energy from the elements (eV/atom): 0.967
ρ (g/cm³): 5.13

a = 6.139 Å, b = 6.139 Å, c = 5.435 Å
α = 90.00°, β = 90.00°, γ = 90.00°
Element x y z (fractional)
Ba (0.000, 0.500, 0.000)
Ba (0.500, 0.000, 0.000)
Nb (0.000, 0.000, 0.000)
Fe (0.500, 0.500, 0.500)
Bi (0.000, 0.000, 0.500)



# 17
The following is a GGA-PBE calculation of an optimized crystal structure of MnZn2Cr, from Alexandria.

## Properties
Symmetry: Fm-3m
Calculated volume (Å³/cell): 55.9
Formation energy from the elements (eV/atom): 0.107
ρ (g/cm³): 7.06
Offset from the most stable computed form (eV/atom): 0.044

a = 4.293 Å, b = 4.293 Å, c = 4.293 Å
α = 60.00°, β = 60.00°, γ = 60.00°
Element x y z (fractional)
Mn (0.000, 0.000, 0.000)
Zn (0.250, 0.250, 0.250)
Zn (0.750, 0.750, 0.750)
Cr (0.500, 0.500, 0.500)



# 18
The following is a GGA-PBE calculation of an optimized crystal structure of NpTlCoSe4, from Alexandria.

## Properties
Symmetry: P2_1/m
Calculated volume (Å³/cell): 358.4
E_form (uncorrected) (eV/atom): -0.568
ρ (g/cm³): 7.56

a = 6.681 Å, b = 6.105 Å, c = 9.228 Å
α = 90.00°, β = 107.76°, γ = 90.00°
Element x y z (fractional)
Np (0.250, 0.250, 0.050)
Np (0.750, 0.750, 0.950)
Tl (0.271, 0.250, 0.557)
Tl (0.729, 0.750, 0.443)
Co (0.235, 0.750, 0.832)
Co (0.765, 0.250, 0.168)
Se (0.022, 0.509, 0.215)
Se (0.022, 0.991, 0.215)
Se (0.420, 0.750, 0.087)
Se (0.434, 0.750, 0.667)
Se (0.566, 0.250, 0.333)
Se (0.580, 0.250, 0.913)
Se (0.978, 0.009, 0.785)
Se (0.978, 0.491, 0.785)



# 19
The following is a GGA-PBE calculation of an optimized crystal structure of Pa2N3, from Alexandria.

## Properties
Symmetry: R-3c
Calculated volume (Å³/cell): 156.2
E_form (uncorrected) (eV/atom): -1.549
ρ (g/cm³): 10.72

a = 6.049 Å, b = 6.049 Å, c = 6.049 Å
α = 59.92°, β = 59.92°, γ = 59.92°
Element x y z (fractional)
Pa (0.140, 0.140, 0.140)
Pa (0.360, 0.360, 0.360)
Pa (0.640, 0.640, 0.640)
Pa (0.860, 0.860, 0.860)
N (0.036, 0.750, 0.464)
N (0.250, 0.536, 0.964)
N (0.464, 0.036, 0.750)
N (0.536, 0.964, 0.250)
N (0.750, 0.464, 0.036)
N (0.964, 0.250, 0.536)



# 20
The following is a GGA-PBE calculation of an optimized crystal structure of BeSiBiB2, from Alexandria.

## Properties
Symmetry: P4/mmm
Calculated volume (Å³/cell): 118.8
E_form (uncorrected) (eV/atom): 2.519
ρ (g/cm³): 3.74

a = 4.580 Å, b = 4.580 Å, c = 5.663 Å
α = 90.00°, β = 90.00°, γ = 90.00°
Element x y z (fractional)
Be (0.000, 0.000, 0.000)
Si (0.500, 0.500, 0.000)
Bi (0.500, 0.500, 0.500)
B (0.000, 0.500, 0.500)
B (0.500, 0.000, 0.500)



# 21
The following is a GGA-PBE calculation of an optimized crystal structure of Pm3AgSn3, from Alexandria.

## Properties
Symmetry: P6_3/m
Calculated volume (Å³/cell): 385.6
Formation energy from the elements (eV/atom): -0.367
ρ (g/cm³): 7.74
Offset from the most stable computed form (eV/atom): 0.319

a = 8.762 Å, b = 8.762 Å, c = 5.800 Å
α = 90.00°, β = 90.00°, γ = 120.00°
Element x y z (fractional)
Pm (0.079, 0.446, 0.250)
Pm (0.367, 0.921, 0.250)
Pm (0.446, 0.367, 0.750)
Pm (0.554, 0.633, 0.250)
Pm (0.633, 0.079, 0.750)
Pm (0.921, 0.554, 0.750)
Ag (0.333, 0.667, 0.750)
Ag (0.667, 0.333, 0.250)
Sn (0.050, 0.248, 0.750)
Sn (0.198, 0.950, 0.750)
Sn (0.248, 0.198, 0.250)
Sn (0.752, 0.802, 0.750)
Sn (0.802, 0.050, 0.250)
Sn (0.950, 0.752, 0.250)



# 22
The following is a GGA-PBE calculation of an optimized crystal structure of AcReSi2Tc, from Alexandria.

## Properties
Symmetry: I-4m2
Calculated volume (Å³/cell): 97.1
E_form (uncorrected) (eV/atom): -0.443
ρ (g/cm³): 9.70

a = 6.149 Å, b = 6.149 Å, c = 6.149 Å
α = 139.51°, β = 139.51°, γ = 58.61°
Element x y z (fractional)
Ac (0.000, 0.000, 0.000)
Re (0.250, 0.750, 0.500)
Si (0.364, 0.364, 0.000)
Si (0.636, 0.636, 0.000)
Tc (0.750, 0.250, 0.500)



# 23
The following is a GGA-PBE calculation of an optimized crystal structure of Al2SbOs, from Alexandria.

## Properties
Symmetry: I-42d
Calculated volume (Å³/cell): 208.4
E_form (uncorrected) (eV/atom): 0.725
ρ (g/cm³): 5.83

a = 7.005 Å, b = 7.005 Å, c = 7.005 Å
α = 127.80°, β = 127.80°, γ = 76.96°
Element x y z (fractional)
Al (0.080, 0.625, 0.955)
Al (0.375, 0.330, 0.455)
Al (0.670, 0.125, 0.045)
Al (0.875, 0.920, 0.545)
Sb (0.250, 0.750, 0.500)
Sb (0.500, 0.500, 0.000)
Os (0.000, 0.000, 0.000)
Os (0.750, 0.250, 0.500)



# 24
The following is a GGA-PBE calculation of an optimized crystal structure of Mg2Pd5Au5, from Alexandria.

## Properties
Symmetry: C2/m
Calculated volume (Å³/cell): 199.2
Formation energy from the elements (eV/atom): -0.381
ρ (g/cm³): 13.05
Offset from the most stable computed form (eV/atom): 0.000

a = 6.400 Å, b = 6.400 Å, c = 9.001 Å
α = 115.01°, β = 115.01°, γ = 37.12°
Element x y z (fractional)
Mg (0.084, 0.084, 0.247)
Mg (0.916, 0.916, 0.753)
Pd (0.000, 0.000, 0.500)
Pd (0.166, 0.166, 0.999)
Pd (0.254, 0.254, 0.752)
Pd (0.746, 0.746, 0.248)
Pd (0.834, 0.834, 0.001)
Au (0.334, 0.334, 0.499)
Au (0.414, 0.414, 0.246)
Au (0.500, 0.500, 0.000)
Au (0.586, 0.586, 0.754)
Au (0.666, 0.666, 0.501)



# 25
The following is a GGA-PBE calculation of an optimized crystal structure of H2SeS, from Alexandria.

## Properties
Symmetry: P1
Calculated volume (Å³/cell): 89.6
ρ (g/cm³): 2.09
Offset from the most stable computed form (eV/atom): 0.000

a = 4.594 Å, b = 4.743 Å, c = 4.851 Å
α = 112.67°, β = 99.97°, γ = 105.11°
Element x y z (fractional)
H (0.000, 0.000, 0.000)
H (0.388, 0.498, 0.894)
Se (0.407, 0.721, 0.739)
S (0.325, 0.119, 0.117)



Number 1: M_tot 0.00 μB/f.u.. Number 2: M_tot 1.02 μB/f.u.. Number 3: M_tot 0.68 μB/f.u.. Number 4: M_tot 0.76 μB/f.u.. Number 5: M_tot 0.00 μB/f.u.. Number 6: M_tot 0.00 μB/f.u.. Number 7: M_tot 0.00 μB/f.u.. Number 8: M_tot 0.11 μB/f.u.. Number 9: M_tot 0.00 μB/f.u.. Number 10: M_tot 0.00 μB/f.u.. Number 11: M_tot 0.00 μB/f.u.. Number 12: M_tot 0.00 μB/f.u.. Number 13: M_tot 0.00 μB/f.u.. Number 14: M_tot 0.00 μB/f.u.. Number 15: M_tot 0.00 μB/f.u.. Number 16: M_tot 3.67 μB/f.u.. Number 17: M_tot 0.14 μB/f.u.. Number 18: M_tot 4.76 μB/f.u.. Number 19: M_tot 1.00 μB/f.u.. Number 20: M_tot 0.00 μB/f.u.. Number 21: M_tot 0.00 μB/f.u.. Number 22: M_tot 0.00 μB/f.u.. Number 23: M_tot 0.00 μB/f.u.. Number 24: M_tot 0.00 μB/f.u.. Number 25: M_tot 0.00 μB/f.u..